(1)
{
  "formula": "MgB2N6",
  "functional": "PBE",
  "state": "relaxed",
  "cell": [[-4.4011, -2.1545, 0.5852], [-3.5272, 2.2614, 2.6075], [-3.9689, 1.8338, -2.2890]],
  "species": ["Mg", "N", "N", "N", "N", "N", "N", "B", "B"],
  "fractional_positions": [[0.0000, 0.0000, 0.0000], [0.6838, 0.3162, 0.3162], [0.3162, 0.3162, 0.6838], [0.6838, 0.3162, 0.6838], [0.3162, 0.6838, 0.3162], [0.6838, 0.6838, 0.3162], [0.3162, 0.6838, 0.6838], [0.7500, 0.7500, 0.7500], [0.2500, 0.2500, 0.2500]],
  "space_group": "No. 225",
  "e_form_raw_ev_per_atom": 2.86,
  "energy_ev_per_atom": -4.350,
  "density_g_cm3": 2.5
}

---

(2)
{
  "formula": "Ti2TcMo",
  "functional": "PBE",
  "state": "relaxed",
  "cell": [[-4.7414, 2.3506, 2.3874], [0.6702, -3.6861, -4.4350], [4.2084, -3.9911, -0.2577]],
  "species": ["Mo", "Ti", "Ti", "Tc"],
  "fractional_positions": [[0.0000, 0.0000, 0.0000], [0.0000, 0.7446, 0.7446], [0.0000, 0.2554, 0.2554], [0.0000, 0.5000, 0.5000]],
  "de_polymorph_mev_per_atom": 783,
  "space_group": "No. 71",
  "formation_enthalpy_0k_ev_per_atom": 0.455,
  "energy_ev_per_atom": -8.792,
  "density_g_cm3": 7.2
}

---

(3)
{
  "formula": "Cd3Ir5O12",
  "functional": "PBE",
  "state": "relaxed",
  "cell": [[-5.6536, -2.9391, -9.3676], [-4.1050, -5.7582, 8.8514], [-1.2326, 11.1134, 1.8244]],
  "species": ["Ir", "Ir", "Ir", "Ir", "Ir", "Ir", "Ir", "Ir", "Ir", "Ir", "Ir", "Ir", "Ir", "Ir", "Ir", "Ir", "Ir", "Ir", "Ir", "Ir", "O", "O", "O", "O", "O", "O", "O", "O", "O", "O", "O", "O", "O", "O", "O", "O", "O", "O", "O", "O", "O", "O", "O", "O", "O", "O", "O", "O", "O", "O", "O", "O", "O", "O", "O", "O", "O", "O", "O", "O", "O", "O", "O", "O", "O", "O", "O", "O", "Cd", "Cd", "Cd", "Cd", "Cd", "Cd", "Cd", "Cd", "Cd", "Cd", "Cd", "Cd"],
  "fractional_positions": [[0.5000, 0.5000, 0.5000], [0.2500, 0.3750, 0.6250], [0.0000, 0.0000, 0.5000], [0.5000, 0.0000, 0.0000], [0.8750, 0.6250, 0.7500], [0.7500, 0.6250, 0.3750], [0.3750, 0.2500, 0.1250], [0.0000, 0.0000, 0.0000], [0.0000, 0.5000, 0.5000], [0.1250, 0.7500, 0.3750], [0.1250, 0.3750, 0.2500], [0.6250, 0.8750, 0.2500], [0.5000, 0.5000, 0.0000], [0.5000, 0.0000, 0.5000], [0.3750, 0.1250, 0.7500], [0.8750, 0.2500, 0.6250], [0.7500, 0.1250, 0.8750], [0.6250, 0.7500, 0.8750], [0.0000, 0.5000, 0.0000], [0.2500, 0.8750, 0.1250], [0.8333, 0.3351, 0.9753], [0.3333, 0.8580, 0.9983], [0.6420, 0.6402, 0.9753], [0.1420, 0.4753, 0.1402], [0.6402, 0.6420, 0.4753], [0.8598, 0.8351, 0.5017], [0.3351, 0.5017, 0.3598], [0.3598, 0.3580, 0.5247], [0.6420, 0.0017, 0.1667], [0.1402, 0.9753, 0.1420], [0.3333, 0.4753, 0.8351], [0.9753, 0.1402, 0.6420], [0.8580, 0.3333, 0.4983], [0.6402, 0.9983, 0.6649], [0.0247, 0.1649, 0.1667], [0.8598, 0.0247, 0.8580], [0.3580, 0.9983, 0.8333], [0.9983, 0.3580, 0.3333], [0.8351, 0.9753, 0.3333], [0.5017, 0.3351, 0.8598], [0.6649, 0.4983, 0.6402], [0.5247, 0.8580, 0.3598], [0.4753, 0.3333, 0.3351], [0.3351, 0.8333, 0.4753], [0.8580, 0.5247, 0.8598], [0.3598, 0.0017, 0.3351], [0.1402, 0.1649, 0.4983], [0.4753, 0.1420, 0.6402], [0.1649, 0.1402, 0.9983], [0.5017, 0.1667, 0.1420], [0.8333, 0.4983, 0.3580], [0.6667, 0.5247, 0.1649], [0.8351, 0.8598, 0.0017], [0.0017, 0.3598, 0.8351], [0.5247, 0.6667, 0.6649], [0.1667, 0.5017, 0.6420], [0.0247, 0.8598, 0.3580], [0.0017, 0.6420, 0.6667], [0.4983, 0.6649, 0.1402], [0.9753, 0.8351, 0.8333], [0.3580, 0.3598, 0.0247], [0.1667, 0.6649, 0.0247], [0.1649, 0.0247, 0.6667], [0.1420, 0.6667, 0.5017], [0.6667, 0.1420, 0.0017], [0.6649, 0.1667, 0.5247], [0.4983, 0.8333, 0.8580], [0.9983, 0.6402, 0.1649], [0.2500, 0.6250, 0.8750], [0.7500, 0.8750, 0.6250], [0.6250, 0.2500, 0.3750], [0.1250, 0.8750, 0.7500], [0.7500, 0.3750, 0.1250], [0.6250, 0.3750, 0.7500], [0.1250, 0.2500, 0.8750], [0.8750, 0.1250, 0.2500], [0.2500, 0.1250, 0.3750], [0.3750, 0.6250, 0.2500], [0.8750, 0.7500, 0.1250], [0.3750, 0.7500, 0.6250]],
  "space_group": "No. 230",
  "e_form_raw_ev_per_atom": -0.53,
  "energy_ev_per_atom": -5.857,
  "density_g_cm3": 8.8
}

---

(4)
{
  "formula": "CrP2WCl",
  "functional": "PBE",
  "state": "relaxed",
  "cell": [[-1.5893, 3.2607, 2.7512], [-2.9974, -2.9426, 1.7560], [2.9986, -1.1836, 3.1350]],
  "species": ["Cr", "Cl", "P", "P", "W"],
  "fractional_positions": [[0.0000, 0.0000, 0.0000], [0.0000, 0.0000, 0.5000], [0.5000, 0.0000, 0.0000], [0.0000, 0.5000, 0.0000], [0.5000, 0.5000, 0.5000]],
  "de_polymorph_mev_per_atom": 456,
  "space_group": "No. 123",
  "e_form_raw_ev_per_atom": 1.06,
  "energy_ev_per_atom": -5.991,
  "density_g_cm3": 5.9
}

---

(5)
{
  "formula": "Ce8RuAu2",
  "functional": "PBE",
  "state": "relaxed",
  "cell": [[-4.5279, -1.2245, 0.0094], [0.9681, -3.6213, -5.3941], [3.9630, -5.6227, 6.1996]],
  "species": ["Ru", "Au", "Au", "Ce", "Ce", "Ce", "Ce", "Ce", "Ce", "Ce", "Ce"],
  "fractional_positions": [[0.5000, 0.0000, 0.0000], [0.8336, 0.3162, 0.6672], [0.1664, 0.6838, 0.3328], [0.9891, 0.7500, 0.9782], [0.3436, 0.0079, 0.6871], [0.4117, 0.5580, 0.8233], [0.2191, 0.2337, 0.4381], [0.6564, 0.9921, 0.3129], [0.7809, 0.7663, 0.5619], [0.0109, 0.2500, 0.0218], [0.5883, 0.4420, 0.1767]],
  "space_group": "No. 12",
  "formation_enthalpy_0k_ev_per_atom": -0.267,
  "energy_ev_per_atom": -6.021,
  "density_g_cm3": 9.8
}

---

(6)
{
  "formula": "BeSiW2",
  "functional": "PBE",
  "state": "relaxed",
  "cell": [[-0.3942, 1.1486, -2.6661], [-0.5697, -2.7892, -0.6917], [-6.0965, 0.9230, 1.2990]],
  "species": ["Be", "W", "W", "Si"],
  "fractional_positions": [[0.0000, 0.0000, 0.5234], [0.5000, 0.5000, 0.2915], [0.0000, 0.0000, 0.9720], [0.5000, 0.5000, 0.7130]],
  "space_group": "No. 35",
  "e_form_raw_ev_per_atom": 0.15,
  "energy_ev_per_atom": -8.613,
  "density_g_cm3": 12.5
}

---

(7)
{
  "formula": "ReHg",
  "functional": "PBE",
  "state": "relaxed",
  "cell": [[-1.6861, 0.9833, 2.1092], [-2.7387, -3.7648, -0.4342], [2.9181, -2.5277, 3.5112]],
  "species": ["Re", "Re", "Hg", "Hg"],
  "fractional_positions": [[0.0000, 0.5000, 0.3438], [0.5000, 0.0000, 0.4895], [0.5000, 0.5000, 0.8254], [0.0000, 0.0000, 0.0080]],
  "de_polymorph_mev_per_atom": 488,
  "space_group": "No. 59",
  "formation_enthalpy_0k_ev_per_atom": 0.881,
  "energy_ev_per_atom": -5.494,
  "density_g_cm3": 18.3
}

---

(8)
{
  "formula": "Sb2IrPt",
  "functional": "PBE",
  "state": "relaxed",
  "cell": [[-1.9647, -3.6869, -2.3684], [2.6833, -3.8080, -1.1668], [-0.6865, -4.1960, 2.2326]],
  "species": ["Ir", "Sb", "Sb", "Pt"],
  "fractional_positions": [[0.5000, 0.5000, 0.5000], [0.2500, 0.2500, 0.2500], [0.0000, 0.0000, 0.0000], [0.7500, 0.7500, 0.7500]],
  "de_polymorph_mev_per_atom": 594,
  "space_group": "No. 216",
  "e_form_raw_ev_per_atom": 0.47,
  "energy_ev_per_atom": -5.321,
  "density_g_cm3": 13.4
}